SnSbTe2W | SCAN | PBEsol geometry

abc: 5.240 5.240 5.256
angles: 90.00 90.00 90.00
Sites, in units of the cell vectors:
Sn1 0.000 0.000 0.000
Sb1 0.500 0.500 0.000
Te1 0.000 0.500 0.500
Te2 0.500 0.000 0.500
W1 0.500 0.500 0.500

Formation energy (no corrections) in meV/atom: 730
Density of states at the Fermi level in states/eV per atom: 0.75
DFT total energy in eV/atom: -42.745